Entry 1:
SrRhOF2: optimized geometry, GGA-PBE.

Unit cell a=4.3185 b=4.3185 c=4.0356 alpha=90.00 beta=90.00 gamma=90.00
Closest atoms and distances in Å follow each position.
Space group P4/mmm (No. 123)
Inequivalent atoms, fractional coordinates:
Sr1 0.0000 0.0000 0.0000 x1  8 F 2.96, 4 O 3.05
Rh1 0.5000 0.5000 0.5000 x1  2 O 2.02, 4 F 2.16
O1 0.5000 0.5000 0.0000 x1  2 Rh 2.02
F1 0.0000 0.5000 0.5000 x2  2 Rh 2.16

Values from the calculation:
DFT total energy, eV for the cell shown: -26.98
ΔE_f (raw), kcal/mol of atoms: -42.66
E above lowest polymorph, eV/atom: 0.000



Entry 2:
Er2Ge4Rh3: optimized geometry, GGA-PBE.

Unit cell a=5.5232 b=9.5738 c=12.2908 alpha=90.00 beta=90.00 gamma=90.00
Closest atoms and distances in Å follow each position.
Space group Fmmm (No. 69)
Inequivalent atoms, fractional coordinates:
Er1 0.0000 0.0000 0.1322 x8  8 Ge 3.01-3.21, 6 Rh 3.20-3.21, 1 Er 3.25
Ge1 0.0000 0.1676 0.3398 x16  3 Rh 2.53-2.54, 1 Ge 2.71
Rh1 0.0000 0.0000 0.5000 x4  4 Ge 2.54, 4 Rh 2.76
Rh2 0.2500 0.2500 0.0000 x8  4 Ge 2.53, 4 Rh 2.76

Values from the calculation:
Formation energy from the elements, meV/atom: -717
DFT total energy, eV for the cell shown: -224.42



Entry 3:
GeH2S2: optimized geometry, GGA-PBE.

Unit cell a=6.3474 b=3.9942 c=7.1234 alpha=90.00 beta=106.07 gamma=90.00
Closest atoms and distances in Å follow each position.
Space group C2/m (No. 12)
Inequivalent atoms, fractional coordinates:
Ge1 0.0000 0.0000 0.0000 x2  6 S 2.70-2.80, 4 H 2.75
H1 0.0356 0.5000 0.2729 x4  1 S 1.37
S1 0.2392 0.5000 0.2428 x4  1 H 1.37

Values from the calculation:
DFT total energy, eV for the cell shown: -38.90
E above lowest polymorph, eV/atom: 0.190



Entry 4:
K3InRe: optimized geometry, GGA-PBE.

Unit cell a=6.3723 b=6.3723 c=6.3723 alpha=90.00 beta=90.00 gamma=90.00
Closest atoms and distances in Å follow each position.
Space group Pm-3m (No. 221)
Inequivalent atoms, fractional coordinates:
K1 0.0000 0.0000 0.5000 x3  2 Re 3.19
In1 0.5000 0.5000 0.5000 x1  12 K 4.51
Re1 0.0000 0.0000 0.0000 x1  6 K 3.19

Values from the calculation:
Formation energy from the elements, meV/atom: 1437
DFT total energy, eV for the cell shown: -11.29
E above lowest polymorph, eV/atom: 0.000



Entry 5:
SrSbSI2: optimized geometry, GGA-PBE.

Unit cell a=6.1110 b=6.1110 c=6.8924 alpha=90.00 beta=90.00 gamma=90.00
Closest atoms and distances in Å follow each position.
Space group P4/mmm (No. 123)
Inequivalent atoms, fractional coordinates:
Sr1 0.0000 0.0000 0.0000 x1  4 I 3.06
Sb1 0.0000 0.0000 0.5000 x1  2 Sr 3.45
S1 0.5000 0.5000 0.5000 x1  4 Sb 4.32, 8 I 4.61
I1 0.0000 0.5000 0.0000 x2  2 Sr 3.06

Values from the calculation:
DFT total energy, eV for the cell shown: -11.77
ΔE_f (raw), kcal/mol of atoms: 5.82
E above lowest polymorph, eV/atom: 0.520



Entry 6:
YTa2B: optimized geometry, GGA-PBE.

Unit cell a=6.4591 b=6.4591 c=9.2667 alpha=90.00 beta=90.00 gamma=90.00
Closest atoms and distances in Å follow each position.
Space group I-42d (No. 122)
Inequivalent atoms, fractional coordinates:
Y1 0.0000 0.0000 0.0000 x4  12 Ta 3.59-4.00, 4 B 3.97, 4 Y 3.97
Ta1 0.0367 0.2500 0.6250 x8  2 B 2.00
B1 0.0000 0.0000 0.5000 x4  4 Ta 2.00

Values from the calculation:
Formation energy from the elements, meV/atom: 949
DFT total energy, eV for the cell shown: -132.20